Model P:
InBP2Cl | PBE-GGA | relaxed

a = 3.9920 Å, b = 3.9920 Å, c = 6.8355 Å
α = 90.00°, β = 90.00°, γ = 90.00°
Last column: nearest neighbours and their distance in Å.
Space group P4/mmm (No. 123)
Symmetry-distinct sites (fractional):
In 0.0000 0.0000 0.0000 (multiplicity 1)  4 Cl 2.82
B 0.5000 0.5000 0.5000 (multiplicity 1)  4 P 2.00
P 0.0000 0.5000 0.5000 (multiplicity 2)  2 B 2.00
Cl 0.5000 0.5000 0.0000 (multiplicity 1)  4 In 2.82

Model Q:
InBP2Cl | PBE-GGA | relaxed

a = 5.4647 Å, b = 5.4647 Å, c = 5.3454 Å
α = 90.00°, β = 90.00°, γ = 90.00°
Last column: nearest neighbours and their distance in Å.
Space group P4/mmm (No. 123)
Symmetry-distinct sites (fractional):
In 0.0000 0.0000 0.0000 (multiplicity 1)  2 Cl 2.67, 4 P 2.73
B 0.5000 0.5000 0.5000 (multiplicity 1)  8 P 3.82, 4 Cl 3.86
P 0.0000 0.5000 0.0000 (multiplicity 2)  2 In 2.73
Cl 0.0000 0.0000 0.5000 (multiplicity 1)  2 In 2.67

Quick ranking, most stable first: model P, model Q.

Model P:
InBS2Cl | PBE-GGA | relaxed

a = 4.3275 Å, b = 4.3275 Å, c = 4.4534 Å
α = 90.00°, β = 90.00°, γ = 90.00°
Last column: nearest neighbours and their distance in Å.
Space group P4/mmm (No. 123)
Symmetry-distinct sites (fractional):
In 0.0000 0.0000 0.0000 (multiplicity 1)  4 Cl 3.06, 8 S 3.10
B 0.5000 0.5000 0.5000 (multiplicity 1)  4 S 2.16, 2 Cl 2.23
S 0.0000 0.5000 0.5000 (multiplicity 2)  2 B 2.16
Cl 0.5000 0.5000 0.0000 (multiplicity 1)  2 B 2.23

Model Q:
InBS2Cl | PBE-GGA | relaxed

a = 5.0800 Å, b = 5.0800 Å, c = 5.0463 Å
α = 90.00°, β = 90.00°, γ = 90.00°
Last column: nearest neighbours and their distance in Å.
Space group P4/mmm (No. 123)
Symmetry-distinct sites (fractional):
In 0.0000 0.0000 0.0000 (multiplicity 1)  2 Cl 2.52, 4 S 2.54
B 0.5000 0.5000 0.5000 (multiplicity 1)  8 S 3.58, 4 Cl 3.59
S 0.0000 0.5000 0.0000 (multiplicity 2)  2 In 2.54
Cl 0.0000 0.0000 0.5000 (multiplicity 1)  2 In 2.52

Quick ranking, most stable first: model P, model Q.

Model P:
B2IrCl | PBE-GGA | relaxed

a = 5.7050 Å, b = 5.7050 Å, c = 5.7050 Å
α = 90.00°, β = 90.00°, γ = 90.00°
Last column: nearest neighbours and their distance in Å.
Space group Fm-3m (No. 225)
Symmetry-distinct sites (fractional):
B 0.2500 0.2500 0.2500 (multiplicity 8)  4 Cl 2.47, 4 Ir 2.47
Ir 0.0000 0.0000 0.0000 (multiplicity 4)  8 B 2.47
Cl 0.0000 0.0000 0.5000 (multiplicity 4)  8 B 2.47

Model Q:
B2IrCl | PBE-GGA | relaxed

a = 5.0358 Å, b = 5.0358 Å, c = 9.9942 Å
α = 90.00°, β = 90.00°, γ = 90.00°
Last column: nearest neighbours and their distance in Å.
Space group I-42d (No. 122)
Symmetry-distinct sites (fractional):
B 0.1818 0.2500 0.1250 (multiplicity 8)  2 Ir 2.00
Ir 0.0000 0.0000 0.0000 (multiplicity 4)  4 B 2.00
Cl 0.0000 0.0000 0.5000 (multiplicity 4)  4 B 2.39

Quick ranking, most stable first: model Q, model P.

Model P:
B3IrCl | PBE-GGA | relaxed

a = 3.7923 Å, b = 3.7923 Å, c = 3.7923 Å
α = 90.00°, β = 90.00°, γ = 90.00°
Last column: nearest neighbours and their distance in Å.
Space group Pm-3m (No. 221)
Symmetry-distinct sites (fractional):
B 0.0000 0.0000 0.5000 (multiplicity 3)  2 Cl 1.90
Ir 0.5000 0.5000 0.5000 (multiplicity 1)  12 B 2.68
Cl 0.0000 0.0000 0.0000 (multiplicity 1)  6 B 1.90

Model Q:
B3IrCl | PBE-GGA | relaxed

a = 4.1790 Å, b = 4.1790 Å, c = 4.1790 Å
α = 90.00°, β = 90.00°, γ = 90.00°
Last column: nearest neighbours and their distance in Å.
Space group Pm-3m (No. 221)
Symmetry-distinct sites (fractional):
B 0.0000 0.0000 0.5000 (multiplicity 3)  2 Ir 2.09
Ir 0.0000 0.0000 0.0000 (multiplicity 1)  6 B 2.09
Cl 0.5000 0.5000 0.5000 (multiplicity 1)  12 B 2.96

Quick ranking, most stable first: model Q, model P.